[1]
Here is a relaxed structure of Ga3CoTc from Alexandria. Energies are from PBE.

**Space group**: Pm-3m, No. 221
**Energy relative to the lowest polymorph listed for this composition**: 0 meV per atom

abc: 4.4510 4.4510 4.4510
angles: 90.00 90.00 90.00
Closest atoms and distances in Å follow each position.
Positions (direct):
Ga (0.0000, 0.0000, 0.5000)  2 Co 2.23
Ga (0.0000, 0.5000, 0.0000)  2 Co 2.23
Ga (0.5000, 0.0000, 0.0000)  2 Co 2.23
Co (0.0000, 0.0000, 0.0000)  6 Ga 2.23
Tc (0.5000, 0.5000, 0.5000)  12 Ga 3.15

=====

[2]
Here is a relaxed structure of Ga2CoTc from Alexandria. Energies are from PBE.

**Space group**: I-42d, No. 122
**Energy relative to the lowest polymorph listed for this composition**: 407 meV per atom

abc: 5.4162 5.4162 5.4162
angles: 103.91 103.91 121.28
Closest atoms and distances in Å follow each position.
Positions (direct):
Ga (0.1008, 0.1250, 0.4758)  2 Co 2.34, 2 Tc 2.56
Ga (0.3750, 0.8992, 0.0242)  2 Co 2.34, 2 Tc 2.56
Ga (0.6492, 0.6250, 0.5242)  2 Co 2.34, 2 Tc 2.56
Ga (0.8750, 0.3508, 0.9758)  2 Co 2.34, 2 Tc 2.56
Co (0.0000, 0.0000, 0.0000)  4 Ga 2.34
Co (0.7500, 0.2500, 0.5000)  4 Ga 2.34
Tc (0.2500, 0.7500, 0.5000)  4 Ga 2.56, 2 Co 2.66
Tc (0.5000, 0.5000, 0.0000)  4 Ga 2.56, 2 Co 2.66

=====

[3]
Here is a relaxed structure of Ga6CoTc from Alexandria. Energies are from PBE.

**Space group**: R-3m, No. 166

abc: 5.2529 5.2529 5.2529
angles: 103.56 103.56 103.56
Closest atoms and distances in Å follow each position.
Positions (direct):
Ga (0.2113, 0.2113, 0.6519)  1 Co 2.30
Ga (0.2113, 0.6519, 0.2113)  1 Co 2.30
Ga (0.3481, 0.7887, 0.7887)  1 Co 2.30
Ga (0.6519, 0.2113, 0.2113)  1 Co 2.30
Ga (0.7887, 0.3481, 0.7887)  1 Co 2.30
Ga (0.7887, 0.7887, 0.3481)  1 Co 2.30
Co (0.5000, 0.5000, 0.5000)  6 Ga 2.30
Tc (0.0000, 0.0000, 0.0000)  6 Ga 2.67

=====

Number 1: formation energy 0.53 eV/atom. Number 2: formation energy 0.27 eV/atom. Number 3: formation energy -0.07 eV/atom.